[1]
The following is a DFT calculation (PBEsol) of an optimized crystal structure of Tl2Hg3Te4.

The space group is C2/c (No. 15) and the conventional cell measures 12.530, 7.451 and 13.369 Å, with angles of 90.00, 117.28 and 90.00 degrees. The asymmetric unit holds Tl at (0.140, 0.166, 0.040), Hg at (0.000, 0.391, 0.750), Hg at (0.164, 0.124, 0.351), Te at (0.078, 0.380, 0.440) and Te at (0.162, 0.154, 0.721).

For the formation energy from raw total energies, the calculation gives -0.163 eV/atom. The calculation puts the total energy at -2.5036 eV/atom.



[2]
The following is a DFT calculation (PBEsol) of an optimized crystal structure of LiZrPb2.

The space group is I-4m2 (No. 119) and the conventional cell measures 4.172, 4.172 and 10.276 Å, with angles of 90.00, 90.00 and 90.00 degrees. The asymmetric unit holds Li at (0.000, 0.000, 0.000), Zr at (0.000, 0.500, 0.750), Pb at (0.000, 0.000, 0.500) and Pb at (0.000, 0.500, 0.250).

As for the formation energy: -202 meV/atom. The calculation puts the total energy at -4.9650 eV/atom. As for the density of states at the Fermi level: 0.374 states/eV per atom.